(1)
VASP calculation (PBE) on a geometry-optimized CoTeS4 structure.

Properties
Calculated density (g/cm³): 4.51
Energy relative to the elements, uncorrected (eV/f.u.): -0.01
Total DFT energy (no corrections) (eV/atom): -4.461
Symmetry: P2_1/c (14)
M_tot (μB/cell): 0.00

a = 4.5107 Å, b = 6.4699 Å, c = 8.1363 Å
α = 102.79°, β = 90.00°, γ = 90.00°
Closest atoms and distances in Å follow each position.
Sites, in units of the cell vectors:
S  0.1843  0.5248  0.2131  1 S 2.07, 1 Co 2.22
S  0.6843  0.9752  0.7869  1 S 2.07, 1 Co 2.22
S  0.3157  0.0248  0.2131  1 S 2.07, 1 Co 2.22
Co  0.5000  0.5000  0.0000  6 S 2.22-2.32
S  0.1726  0.6773  0.8589  1 S 2.07, 2 Co 2.29-2.32
Te  0.0000  0.0000  0.5000  2 S 2.77
Co  0.0000  0.0000  0.0000  6 S 2.22-2.32
Te  0.5000  0.5000  0.5000  2 S 2.77
S  0.8274  0.3227  0.1411  1 S 2.07, 2 Co 2.29-2.32
S  0.8157  0.4752  0.7869  1 S 2.07, 1 Co 2.22
S  0.3274  0.1773  0.8589  1 S 2.07, 2 Co 2.29-2.32
S  0.6726  0.8227  0.1411  1 S 2.07, 2 Co 2.29-2.32

(2)
VASP calculation (PBE) on a geometry-optimized Th6Co3TeS2 structure.

Properties
Calculated density (g/cm³): 9.58
Energy relative to the elements, uncorrected (eV/f.u.): -10.66
Total DFT energy (no corrections) (eV/atom): -7.325
Symmetry: C2/m (12)
M_tot (μB/cell): 0.00

a = 4.0983 Å, b = 8.6642 Å, c = 9.3490 Å
α = 109.04°, β = 102.66°, γ = 90.00°
Closest atoms and distances in Å follow each position.
Sites, in units of the cell vectors:
Co  0.5000  0.5000  0.0000  6 Th 2.73-2.77
Th  0.9870  0.2772  0.9740  3 Co 2.66-2.77
Th  0.3414  0.4104  0.6829  3 Co 2.73-2.87, 1 S 3.01
Th  0.3167  0.9279  0.6335  1 Co 2.56
Te  0.5000  0.0000  0.0000  6 Th 3.19-3.23
S  0.8324  0.6669  0.6649  6 Th 3.01-3.16
Co  0.1679  0.8275  0.3358  2 Th 2.56-2.66
Th  0.6832  0.0721  0.3665  1 Co 2.56
Co  0.8321  0.1725  0.6642  2 Th 2.56-2.66
Th  0.6586  0.5896  0.3171  3 Co 2.73-2.87, 1 S 3.01
S  0.1676  0.3331  0.3351  6 Th 3.01-3.16
Th  0.0130  0.7228  0.0260  3 Co 2.66-2.77

(3)
VASP calculation (PBE) on a geometry-optimized Th4CoTe2S structure.

Properties
Calculated density (g/cm³): 9.52
Energy relative to the elements, uncorrected (eV/f.u.): -8.86
Total DFT energy (no corrections) (eV/atom): -7.007
Symmetry: P2/m (10)
M_tot (μB/cell): 0.00

a = 4.0708 Å, b = 7.3317 Å, c = 7.8285 Å
α = 107.99°, β = 90.00°, γ = 90.00°
Closest atoms and distances in Å follow each position.
Sites, in units of the cell vectors:
Th  0.5000  0.2396  0.2089  2 S 2.85, 1 Co 2.87
Th  0.5000  0.7604  0.7911  2 S 2.85, 1 Co 2.87
Co  0.5000  0.5000  0.0000  6 Th 2.75-2.87
S  0.0000  0.0000  0.0000  6 Th 2.85-2.96
Th  0.0000  0.2842  0.8006  2 Co 2.75, 1 S 2.96
Te  0.0000  0.5000  0.5000  6 Th 3.21-3.22
Te  0.5000  0.0000  0.5000  6 Th 3.28-3.32
Th  0.0000  0.7158  0.1994  2 Co 2.75, 1 S 2.96